No. 1
GGA-PBE La2BrCl, optimized geometry; total magnetization = 0.0 μB/cell; raw formation energy = -1.40 eV per atom; mass density = 5.9 Mg/m³
1.0
3.751 0.000 0.000
1.876 3.249 0.000
1.876 1.083 9.060
La Cl Br
2 1 1
Cartesian
1.876 1.083 6.868
1.876 1.083 2.195
5.627 3.249 9.042
3.751 2.166 4.546

No. 2
GGA-PBE Tb12RuAu6, optimized geometry; formation energy from the elements = -0.47 eV/atom; total magnetization = 0.0 μB/cell; mass density = 9.4 Mg/m³
1.0
8.351 0.034 0.040
-1.233 8.260 0.040
-1.233 -1.436 8.134
Tb Au Ru
12 6 1
Cartesian
6.919 -0.685 5.591
4.510 7.692 0.325
1.376 -0.835 7.890
-1.034 7.542 2.623
3.268 2.342 6.673
-1.726 4.298 7.626
7.612 2.559 0.588
1.820 5.925 4.720
0.305 2.695 4.718
5.581 4.162 3.497
4.066 0.932 3.495
2.618 4.515 1.542
1.631 0.185 5.112
4.691 2.369 1.096
1.194 4.488 7.119
4.255 6.672 3.103
5.950 2.121 5.688
-0.064 4.736 2.527
0.000 0.000 0.000

No. 3
GGA-PBE NbGeAs2, optimized geometry; formation energy from the elements = -0.16 eV/atom; total magnetization = 0.0 μB/cell; mass density = 7.1 Mg/m³
1.0
5.349 0.000 0.000
0.000 7.756 0.000
-2.642 0.000 7.098
Nb Ge As
4 4 8
Cartesian
0.384 0.000 1.154
-0.937 3.878 4.703
0.244 3.878 1.465
-1.077 0.000 5.014
0.826 1.908 5.243
2.147 1.970 1.694
2.147 5.786 1.694
0.826 5.849 5.243
-2.358 5.698 6.384
2.951 3.878 0.185
-1.037 5.937 2.835
-1.037 1.820 2.835
-2.358 2.058 6.384
1.714 3.878 3.741
3.035 0.000 0.192
1.630 0.000 3.734

No. 4
GGA-PBE Tl2ZnRh, optimized geometry; formation energy from the elements = 0.20 eV/atom; total magnetization = 0.0 μB/cell; mass density = 12.1 Mg/m³
1.0
-0.672 -2.813 2.163
3.487 -1.073 -0.313
4.943 2.259 4.473
Rh Zn Tl
1 1 2
Cartesian
5.987 -0.517 4.202
1.772 -1.110 2.122
4.933 2.236 4.440
4.225 0.616 2.114

No. 5
GGA-PBE SrSi2Cl8, optimized geometry; total magnetization = 0.0 μB/cell; raw formation energy = -1.25 eV per atom; mass density = 2.1 Mg/m³
1.0
7.549 1.013 0.768
1.298 6.967 0.023
1.298 1.898 6.704
Cl Si Sr
8 2 1
Cartesian
2.222 2.934 2.226
7.923 6.943 5.268
3.329 6.828 2.189
5.023 7.563 5.738
6.815 3.050 5.306
6.815 5.931 1.508
5.122 2.315 1.756
3.329 3.946 5.987
3.183 1.396 1.059
6.962 8.482 6.436
0.000 0.000 0.000

No. 6
GGA-PBE HoTmCoGe, optimized geometry; formation energy from the elements = -0.42 eV/atom; total magnetization = 0.8 μB/cell; mass density = 9.5 Mg/m³
1.0
4.858 0.000 0.000
2.429 4.207 0.000
2.429 1.402 3.967
Tm Ho Ge Co
1 1 1 1
Cartesian
4.858 2.805 1.983
0.000 0.000 0.000
7.288 4.207 2.975
2.429 1.402 0.992

No. 7
GGA-PBE LiCaBe2, optimized geometry; formation energy from the elements = 0.43 eV/atom; total magnetization = 0.0 μB/cell; mass density = 1.6 Mg/m³
1.0
-2.916 0.542 1.106
-1.205 -0.644 -2.860
-0.557 -6.426 1.682
Be Ca Li
2 1 1
Cartesian
-0.322 -3.712 0.971
-0.514 -5.927 1.551
-2.200 -1.657 -0.457
-2.478 -4.870 0.384

No. 8
GGA-PBE ZrHg2Cl, optimized geometry; total magnetization = 0.0 μB/cell; raw formation energy = -0.17 eV per atom; mass density = 9.3 Mg/m³
1.0
3.401 -0.002 0.000
-1.662 2.967 0.000
0.000 0.000 9.344
Hg Cl Zr
2 1 1
Cartesian
0.000 0.000 9.274
0.000 0.000 4.742
0.870 1.482 7.008
0.870 1.482 2.336